Entry 1:
DFT (PBE) results for a relaxed structure of MgCoCu2.

Unit cell a=3.6138 b=2.6838 c=6.0896 alpha=63.42 beta=90.00 gamma=90.00
Closest atoms and distances in Å follow each position.
Positions (direct):
1 Co 0.5000 0.7500 0.7500  8 Cu 2.56-2.57, 2 Co 2.68, 2 Mg 2.72
2 Cu 0.0000 0.0243 0.9757  3 Cu 2.46-2.68, 4 Co 2.56-2.57, 4 Mg 2.70-2.71
3 Mg 0.5000 0.2500 0.2500  2 Mg 2.68, 8 Cu 2.70-2.71, 2 Co 2.72
4 Cu 0.0000 0.4757 0.5243  3 Cu 2.46-2.68, 4 Co 2.56-2.57, 4 Mg 2.70-2.71


Entry 2:
DFT (PBE) results for a relaxed structure of KHg3Pd.

Unit cell a=5.9613 b=6.5117 c=6.8514 alpha=90.03 beta=82.83 gamma=89.98
Closest atoms and distances in Å follow each position.
Positions (direct):
1 Hg 0.1425 0.7362 0.0254  2 Pd 2.89-2.90, 2 Hg 3.17-3.22
2 Hg 0.0557 0.9894 0.6470  2 Pd 2.78-2.81, 1 Hg 3.01
3 Hg 0.1426 0.2413 0.0256  2 Pd 2.89-2.91, 2 Hg 3.17-3.22
4 K 0.6294 0.4887 0.0973  8 Hg 3.40-3.61
5 Hg 0.5579 0.2416 0.5728  2 Pd 2.89-2.91, 2 Hg 3.17-3.22
6 Pd 0.3503 0.9888 0.2990  6 Hg 2.78-2.89, 2 Pd 2.98
7 Pd 0.8502 0.9887 0.2991  6 Hg 2.81-2.91, 2 Pd 2.98
8 Hg 0.6448 0.9885 0.9513  2 Pd 2.78-2.81, 1 Hg 3.01
9 Hg 0.5578 0.7365 0.5728  2 Pd 2.89-2.91, 2 Hg 3.16-3.22
10 K 0.0709 0.4892 0.5007  8 Hg 3.40-3.61

Results
**Distance to the lowest polymorph of the same formula**: 41 meV per atom


Entry 3:
DFT (PBE) results for a relaxed structure of DyLuMgMn.

Unit cell a=5.1248 b=5.1248 c=5.1248 alpha=60.00 beta=60.00 gamma=60.00
Closest atoms and distances in Å follow each position.
Positions (direct):
1 Mg 0.0000 0.0000 0.0000  4 Lu 3.14, 4 Dy 3.14
2 Lu 0.7500 0.7500 0.7500  4 Mn 3.14, 4 Mg 3.14
3 Mn 0.5000 0.5000 0.5000  4 Dy 3.14, 4 Lu 3.14
4 Dy 0.2500 0.2500 0.2500  4 Mn 3.14, 4 Mg 3.14


Entry 4:
DFT (PBE) results for a relaxed structure of Ca5HgPb4.

Unit cell a=3.7223 b=3.7223 c=21.3373 alpha=90.00 beta=90.00 gamma=90.00
Closest atoms and distances in Å follow each position.
Positions (direct):
1 Pb 0.0000 0.0000 0.8109  8 Ca 3.39-3.43, 4 Pb 3.72
2 Ca 0.5000 0.5000 0.2923  8 Pb 3.43-3.44, 4 Ca 3.72
3 Pb 0.0000 0.0000 0.1891  8 Ca 3.39-3.43, 4 Pb 3.72
4 Ca 0.5000 0.5000 0.5000  8 Pb 3.44, 4 Ca 3.72
5 Ca 0.5000 0.5000 0.0892  4 Hg 3.25, 4 Pb 3.39
6 Pb 0.0000 0.0000 0.3962  8 Ca 3.44, 4 Pb 3.72
7 Hg 0.0000 0.0000 0.0000  8 Ca 3.25
8 Pb 0.0000 0.0000 0.6038  8 Ca 3.44, 4 Pb 3.72
9 Ca 0.5000 0.5000 0.9108  4 Hg 3.25, 4 Pb 3.39
10 Ca 0.5000 0.5000 0.7077  8 Pb 3.43-3.44, 4 Ca 3.72


Energy of formation across the listed records, respectively: 41; -97; 37; -529 kJ/mol of formula units.